w:
10
Lattice="4.049 0.000 0.000 0.000 4.049 0.000 0.000 0.000 17.292" Properties=species:S:1:pos:R:3 comment="Tm4TlPb5 PBE-GGA optimized geometry" magmom_total_mub_per_fu=0.000 pbc="T T T"
Tm 0.000 0.000 1.703
Tm 0.000 0.000 5.197
Tm 0.000 0.000 12.095
Tm 0.000 0.000 15.589
Tl 0.000 0.000 8.646
Pb 2.024 2.024 0.000
Pb 2.024 2.024 3.431
Pb 2.024 2.024 6.778
Pb 2.024 2.024 10.513
Pb 2.024 2.024 13.861

***

x:
10
Lattice="-4.899 4.899 3.174 4.899 -4.899 3.174 4.899 4.899 -3.174" Properties=species:S:1:pos:R:3 comment="Tm4TlPb5 PBE-GGA optimized geometry" magmom_total_mub_per_fu=0.000 pbc="T T T"
Tm 3.051 0.981 0.000
Tm 3.918 -1.848 3.174
Tm 0.981 6.748 0.000
Tm 1.848 3.918 3.174
Tl 0.000 0.000 4.824
Pb 5.932 2.052 0.009
Pb 0.000 0.000 1.629
Pb 2.052 3.867 0.009
Pb 2.847 1.033 3.183
Pb -1.033 2.847 3.183

***

Computed energies relative to the best structure, in kJ/mol of atoms: w 0.0; x 11.1

***

w:
10
Lattice="5.884 -2.996 0.000 5.884 2.996 0.000 -2.876 0.000 8.222" Properties=species:S:1:pos:R:3 comment="TmTl2Pb2 PBE-GGA optimized geometry" magmom_total_mub_per_fu=0.000 pbc="T T T"
Tm 3.727 1.989 6.167
Tm 5.165 -1.989 2.056
Tl 0.582 0.932 5.399
Tl 2.020 -0.932 1.288
Tl 6.872 0.932 6.934
Tl 8.310 -0.932 2.823
Pb 4.718 1.028 0.486
Pb 5.612 1.028 3.625
Pb 3.280 -1.028 4.597
Pb 4.174 -1.028 7.736

***

x:
10
Lattice="2.323 -13.508 0.000 2.323 13.508 0.000 0.000 0.000 4.624" Properties=species:S:1:pos:R:3 comment="TmTl2Pb2 PBE-GGA optimized geometry" magmom_total_mub_per_fu=0.000 pbc="T T T"
Tm 2.323 9.388 3.468
Tm 2.323 -9.388 1.156
Tl 2.323 12.129 1.156
Tl 2.323 1.405 1.156
Tl 2.323 -1.405 3.468
Tl 2.323 -12.129 3.468
Pb 2.323 6.731 1.156
Pb 2.323 3.958 3.468
Pb 2.323 -3.958 1.156
Pb 2.323 -6.731 3.468

***

Computed energies relative to the best structure, in kJ/mol of atoms: w 1.2; x 0.0

***

w:
10
Lattice="5.941 -2.327 0.000 5.941 2.327 0.000 -2.054 0.000 10.117" Properties=species:S:1:pos:R:3 comment="Tm2TlPb2 PBE-GGA optimized geometry" magmom_total_mub_per_fu=0.000 pbc="T T T"
Tm -0.123 0.000 3.547
Tm 1.694 0.000 0.514
Tm 8.134 0.000 9.603
Tm 9.951 0.000 6.570
Tl 1.571 0.000 7.561
Tl 8.256 0.000 2.556
Pb 3.361 0.000 4.416
Pb 5.043 0.000 1.452
Pb 4.784 0.000 8.665
Pb 6.467 0.000 5.701

***

x:
5
Lattice="2.519 -8.692 0.000 2.519 8.692 0.000 0.000 0.000 3.600" Properties=species:S:1:pos:R:3 comment="Tm2TlPb2 PBE-GGA optimized geometry" magmom_total_mub_per_fu=0.000 pbc="T T T"
Tm 2.519 5.554 0.000
Tm 2.519 -5.554 0.000
Tl 0.000 0.000 0.000
Pb 2.519 2.484 1.800
Pb 2.519 -2.484 1.800

***

Computed energies relative to the best structure, in kJ/mol of atoms: w 0.0; x 9.0

***

w:
10
Lattice="-4.879 4.879 3.141 4.879 -4.879 3.141 4.879 4.879 -3.141" Properties=species:S:1:pos:R:3 comment="Tm5TlPb4 PBE-GGA optimized geometry" magmom_total_mub_per_fu=0.000 pbc="T T T"
Tm 0.000 0.000 0.000
Tm 3.958 1.774 1.110
Tm 3.106 -0.921 4.251
Tm 1.774 5.801 1.110
Tm 0.921 3.106 4.251
Tl 0.000 0.000 3.101
Pb 2.768 -1.056 1.111
Pb 6.991 1.056 1.111
Pb 1.056 2.768 1.111
Pb -1.056 6.991 1.111

***

x:
10
Lattice="3.958 0.000 0.000 0.000 3.958 0.000 0.000 0.000 17.558" Properties=species:S:1:pos:R:3 comment="Tm5TlPb4 PBE-GGA optimized geometry" magmom_total_mub_per_fu=0.000 pbc="T T T"
Tm 0.000 0.000 0.000
Tm 0.000 0.000 3.509
Tm 0.000 0.000 7.049
Tm 0.000 0.000 10.509
Tm 0.000 0.000 14.049
Tl 1.979 1.979 8.779
Pb 1.979 1.979 1.746
Pb 1.979 1.979 5.283
Pb 1.979 1.979 12.275
Pb 1.979 1.979 15.812

***

Computed energies relative to the best structure, in kJ/mol of atoms: w 8.4; x 0.0

***

w:
4
Lattice="1.632 0.942 12.473 -1.632 0.942 12.473 0.000 -1.884 12.473" Properties=species:S:1:pos:R:3 comment="UTlPb2 PBE-GGA optimized geometry" magmom_total_mub_per_fu=2.182 pbc="T T T"
U 0.000 0.000 0.000
Tl 0.000 0.000 18.710
Pb 0.000 0.000 15.367
Pb 0.000 0.000 22.053

***

x:
4
Lattice="4.877 0.000 0.000 0.000 4.877 0.000 0.000 0.000 4.643" Properties=species:S:1:pos:R:3 comment="UTlPb2 PBE-GGA optimized geometry" magmom_total_mub_per_fu=2.751 pbc="T T T"
U 0.000 0.000 0.000
Tl 2.438 2.438 0.000
Pb 0.000 2.438 2.322
Pb 2.438 0.000 2.322

***

Computed energies relative to the best structure, in kJ/mol of atoms: w 6.5; x 0.0

***

w:
5
Lattice="5.930 0.000 0.000 0.000 5.930 0.000 0.000 0.000 5.930" Properties=species:S:1:pos:R:3 comment="Tl3PbW PBE-GGA optimized geometry" magmom_total_mub_per_fu=4.779 pbc="T T T"
Tl 0.000 0.000 2.965
Tl 0.000 2.965 0.000
Tl 2.965 0.000 0.000
Pb 0.000 0.000 0.000
W 2.965 2.965 2.965

***

x:
5
Lattice="5.424 0.000 0.000 0.000 5.424 0.000 0.000 0.000 5.424" Properties=species:S:1:pos:R:3 comment="Tl3PbW PBE-GGA optimized geometry" magmom_total_mub_per_fu=0.000 pbc="T T T"
Tl 0.000 0.000 2.712
Tl 0.000 2.712 0.000
Tl 2.712 0.000 0.000
Pb 2.712 2.712 2.712
W 0.000 0.000 0.000

***

Computed energies relative to the best structure, in kJ/mol of atoms: w 81.0; x 0.0

***

w:
4
Lattice="0.000 3.713 3.713 3.713 0.000 3.713 3.713 3.713 0.000" Properties=species:S:1:pos:R:3 comment="Tl2PbW PBE-GGA optimized geometry" magmom_total_mub_per_fu=3.035 pbc="T T T"
Tl 1.856 1.856 1.856
Tl 5.569 5.569 5.569
Pb 0.000 0.000 0.000
W 3.713 3.713 3.713

***

x:
4
Lattice="1.588 0.917 11.238 -1.588 0.917 11.238 0.000 -1.833 11.238" Properties=species:S:1:pos:R:3 comment="Tl2PbW PBE-GGA optimized geometry" magmom_total_mub_per_fu=0.000 pbc="T T T"
Tl 0.000 0.000 8.094
Tl 0.000 0.000 25.620
Pb 0.000 0.000 0.000
W 0.000 0.000 16.857

***

Computed energies relative to the best structure, in kJ/mol of atoms: w 39.6; x 0.0

***

w:
4
Lattice="3.308 0.000 0.000 0.000 4.801 0.000 0.000 0.000 5.047" Properties=species:S:1:pos:R:3 comment="TlPbW2 PBE-GGA optimized geometry" magmom_total_mub_per_fu=0.000 pbc="T T T"
Tl 0.000 0.000 0.000
Pb 1.654 0.000 2.524
W 0.000 2.401 2.524
W 1.654 2.401 0.000

***

x:
4
Lattice="3.015 -4.788 0.000 3.015 4.788 0.000 -1.226 0.000 2.777" Properties=species:S:1:pos:R:3 comment="TlPbW2 PBE-GGA optimized geometry" magmom_total_mub_per_fu=0.000 pbc="T T T"
Tl 0.000 0.000 0.000
Pb 3.015 0.000 0.000
W 0.895 2.394 1.388
W 0.895 -2.394 1.388

***

y:
4
Lattice="4.998 -1.714 0.000 4.998 1.714 0.000 -0.331 0.000 5.240" Properties=species:S:1:pos:R:3 comment="TlPbW2 PBE-GGA optimized geometry" magmom_total_mub_per_fu=0.000 pbc="T T T"
Tl 0.000 0.000 0.000
Pb 4.832 0.000 2.620
W 2.295 0.000 4.327
W 7.370 0.000 0.913

***

z:
4
Lattice="1.661 -2.523 0.000 1.661 2.523 0.000 0.000 0.000 10.950" Properties=species:S:1:pos:R:3 comment="TlPbW2 PBE-GGA optimized geometry" magmom_total_mub_per_fu=0.000 pbc="T T T"
Tl 0.000 0.000 0.000
Pb 1.661 0.000 7.271
W 0.000 0.000 4.646
W 1.661 0.000 2.716

***

Computed energies relative to the best structure, in kJ/mol of atoms: w 56.2; x 56.8; y 39.2; z 0.0